Entry 1:
PaBC after structural relaxation. Source: Alexandria, functional PBE-GGA. Values from VASP.

## Properties
V in Å³ per atom: 14.36
Energy relative to the lowest polymorph listed for this composition in eV/f.u.: 1.68
Space group: I4mm (107)

Geometry as Quantum ESPRESSO input:
```
&SYSTEM
  ibrav = 0, nat = 3, ntyp = 3
/
ATOMIC_SPECIES
C 12.01 C.upf
Pa 231.04 Pa.upf
B 10.81 B.upf
ATOMIC_POSITIONS crystal
C 0.666 0.666 0.332
Pa 0.290 0.290 0.579
B 0.894 0.894 0.789
CELL_PARAMETERS angstrom
-0.616 3.226 1.680
-3.581 -0.836 0.293
2.645 -2.553 1.822
```



Entry 2:
Pu2PaBC4 after structural relaxation. Source: Alexandria, functional PBE-GGA. Values from VASP.

## Properties
V in Å³ per atom: 14.07
Space group: Cmcm (63)

Geometry as Quantum ESPRESSO input:
```
&SYSTEM
  ibrav = 0, nat = 16, ntyp = 4
/
ATOMIC_SPECIES
Pu 244.00 Pu.upf
Pa 231.04 Pa.upf
B 10.81 B.upf
C 12.01 C.upf
ATOMIC_POSITIONS crystal
Pu 0.371 0.743 0.566
Pu 0.629 0.257 0.066
Pu 0.629 0.257 0.434
Pu 0.371 0.743 0.934
Pa 0.095 0.190 0.750
Pa 0.905 0.810 0.250
B 0.774 0.548 0.750
B 0.226 0.452 0.250
C 0.271 0.542 0.123
C 0.729 0.458 0.623
C 0.729 0.458 0.877
C 0.271 0.542 0.377
C 0.000 0.000 0.500
C 0.000 0.000 0.000
C 0.470 0.940 0.750
C 0.530 0.060 0.250
CELL_PARAMETERS angstrom
-2.980 0.702 -1.890
-1.703 -0.845 5.796
1.264 10.487 1.900
```



Entry 3:
Pa2BRu6C after structural relaxation. Source: Alexandria, functional PBE-GGA. Values from VASP.

## Properties
V in Å³ per atom: 14.74
Space group: P4/mmm (123)

Geometry as Quantum ESPRESSO input:
```
&SYSTEM
  ibrav = 0, nat = 10, ntyp = 4
/
ATOMIC_SPECIES
Pa 231.04 Pa.upf
B 10.81 B.upf
Ru 101.07 Ru.upf
C 12.01 C.upf
ATOMIC_POSITIONS crystal
Pa 0.000 0.000 0.754
Pa 0.000 0.000 0.246
B 0.500 0.500 0.000
Ru 0.500 0.000 0.000
Ru 0.500 0.000 0.500
Ru 0.000 0.500 0.000
Ru 0.000 0.500 0.500
Ru 0.500 0.500 0.745
Ru 0.500 0.500 0.255
C 0.500 0.500 0.500
CELL_PARAMETERS angstrom
4.194 0.000 0.000
0.000 4.194 0.000
0.000 0.000 8.382
```



Entry 4:
PaTc2BC after structural relaxation. Source: Alexandria, functional PBE-GGA. Values from VASP.

## Properties
V in Å³ per atom: 13.69
Space group: Cmcm (63)

Geometry as Quantum ESPRESSO input:
```
&SYSTEM
  ibrav = 0, nat = 10, ntyp = 4
/
ATOMIC_SPECIES
Pa 231.04 Pa.upf
Tc 98.00 Tc.upf
B 10.81 B.upf
C 12.01 C.upf
ATOMIC_POSITIONS crystal
Pa 0.456 0.911 0.750
Pa 0.544 0.089 0.250
Tc 0.173 0.345 0.934
Tc 0.827 0.655 0.066
Tc 0.173 0.345 0.566
Tc 0.827 0.655 0.434
B 0.746 0.491 0.750
B 0.254 0.509 0.250
C 0.000 0.000 0.000
C 0.000 0.000 0.500
CELL_PARAMETERS angstrom
-2.373 1.453 1.755
-0.426 -5.741 1.094
4.667 0.740 5.697
```



Entry 5:
PaTcBC after structural relaxation. Source: Alexandria, functional PBE-GGA. Values from VASP.

## Properties
V in Å³ per atom: 13.41
Space group: P4/nmm (129)

Geometry as Quantum ESPRESSO input:
```
&SYSTEM
  ibrav = 0, nat = 8, ntyp = 4
/
ATOMIC_SPECIES
Pa 231.04 Pa.upf
Tc 98.00 Tc.upf
B 10.81 B.upf
C 12.01 C.upf
ATOMIC_POSITIONS crystal
Pa 0.000 0.500 0.835
Pa 0.500 0.000 0.165
Tc 0.000 0.000 0.500
Tc 0.500 0.500 0.500
B 0.000 0.500 0.323
B 0.500 0.000 0.677
C 0.500 0.000 0.872
C 0.000 0.500 0.128
CELL_PARAMETERS angstrom
-1.714 -2.609 -1.881
-1.688 -1.085 3.042
-6.069 5.103 -1.547
```



Entry 6:
ThPa2BC4 after structural relaxation. Source: Alexandria, functional PBE-GGA. Values from VASP.

## Properties
V in Å³ per atom: 15.38
Space group: Cmcm (63)

Geometry as Quantum ESPRESSO input:
```
&SYSTEM
  ibrav = 0, nat = 16, ntyp = 4
/
ATOMIC_SPECIES
Th 232.04 Th.upf
Pa 231.04 Pa.upf
B 10.81 B.upf
C 12.01 C.upf
ATOMIC_POSITIONS crystal
Th 0.093 0.185 0.750
Th 0.907 0.815 0.250
Pa 0.371 0.741 0.568
Pa 0.629 0.259 0.068
Pa 0.629 0.259 0.432
Pa 0.371 0.741 0.932
B 0.770 0.539 0.750
B 0.230 0.461 0.250
C 0.265 0.530 0.121
C 0.735 0.470 0.621
C 0.735 0.470 0.879
C 0.265 0.530 0.379
C 0.000 0.000 0.500
C 0.000 0.000 0.000
C 0.461 0.922 0.750
C 0.539 0.078 0.250
CELL_PARAMETERS angstrom
3.722 0.000 0.000
-1.861 6.068 0.000
0.000 0.000 10.893
```



Number 1: Fermi-level density of states 2.10 states/eV/f.u., DFT formation energy -0.208 eV per formula unit. Number 2: Fermi-level density of states 12.50 states/eV/f.u., DFT formation energy -0.308 eV per formula unit. Number 3: Fermi-level density of states 6.26 states/eV/f.u., DFT formation energy -4.676 eV per formula unit. Number 4: Fermi-level density of states 3.43 states/eV/f.u., DFT formation energy -1.737 eV per formula unit. Number 5: Fermi-level density of states 3.22 states/eV/f.u., DFT formation energy -1.838 eV per formula unit. Number 6: Fermi-level density of states 3.01 states/eV/f.u., DFT formation energy -2.505 eV per formula unit.